Record 1
A plane-wave DFT calculation with GGA-PBE was carried out for an optimized crystal structure of Pa2Bi2NO.

Geometry as CIF:
```
data_Pa2Bi2NO
_cell_length_a 5.687
_cell_length_b 15.646
_cell_length_c 5.675
_cell_angle_alpha 90.00
_cell_angle_beta 90.00
_cell_angle_gamma 90.00
_space_group_name_H-M_alt 'I b a m'
_space_group_IT_number 72
_space_group_name_Hall '-I 2 2c'
loop_
_atom_site_label
_atom_site_type_symbol
_atom_site_fract_x
_atom_site_fract_y
_atom_site_fract_z
Pa1 Pa 0.241 0.076 0.000
Bi1 Bi 0.248 0.311 0.000
N1 N 0.000 0.000 0.250
O1 O 0.000 0.500 0.250
```

## Properties
- crystal system = orthorhombic

Record 2
A plane-wave DFT calculation with GGA-PBE was carried out for an optimized crystal structure of La6NdTm2Mg.

Geometry as CIF:
```
data_La6NdTm2Mg
_cell_length_a 10.629
_cell_length_b 13.820
_cell_length_c 9.477
_cell_angle_alpha 90.00
_cell_angle_beta 99.49
_cell_angle_gamma 90.00
_space_group_name_H-M_alt 'C 1 2/c 1'
_space_group_IT_number 15
loop_
_space_group_symop_operation_xyz
'x,y,z'
'-x,-y,-z'
'-x,y,-z+1/2'
'x,-y,z+1/2'
'x+1/2,y+1/2,z'
'-x+1/2,-y+1/2,-z'
'-x+1/2,y+1/2,-z+1/2'
'x+1/2,-y+1/2,z+1/2'
loop_
_atom_site_label
_atom_site_type_symbol
_atom_site_fract_x
_atom_site_fract_y
_atom_site_fract_z
La1 La 0.059 0.119 0.099
La2 La 0.089 0.332 0.918
La3 La 0.245 0.290 0.330
Nd1 Nd 0.000 0.431 0.250
Tm1 Tm 0.232 0.467 0.597
Mg1 Mg 0.000 0.096 0.750
```

## Properties
- crystal system = monoclinic
- formation energy from the elements (meV per atom) = 91

Record 3
A plane-wave DFT calculation with GGA-PBE was carried out for an optimized crystal structure of Pr2Y3In.

Geometry as CIF:
```
data_Pr2Y3In
_cell_length_a 4.947
_cell_length_b 15.360
_cell_length_c 4.959
_cell_angle_alpha 90.00
_cell_angle_beta 90.00
_cell_angle_gamma 90.00
_space_group_name_H-M_alt 'C m m m'
_space_group_IT_number 65
_space_group_name_Hall '-C 2 2'
loop_
_atom_site_label
_atom_site_type_symbol
_atom_site_fract_x
_atom_site_fract_y
_atom_site_fract_z
Pr1 Pr 0.000 0.163 0.000
Y1 Y 0.000 0.000 0.500
Y2 Y 0.000 0.337 0.500
In1 In 0.000 0.500 0.000
```

## Properties
- crystal system = orthorhombic
- energy relative to the lowest polymorph listed for this composition (meV per atom) = 3.7
- formation energy from the elements (meV per atom) = -149

Record 4
A plane-wave DFT calculation with GGA-PBE was carried out for an optimized crystal structure of NaSrAgBi.

Geometry as CIF:
```
data_NaSrAgBi
_cell_length_a 7.794
_cell_length_b 7.794
_cell_length_c 7.794
_cell_angle_alpha 90.00
_cell_angle_beta 90.00
_cell_angle_gamma 90.00
_space_group_name_H-M_alt 'F -4 3 m'
_space_group_IT_number 216
_space_group_name_Hall 'F -4 2 3'
loop_
_atom_site_label
_atom_site_type_symbol
_atom_site_fract_x
_atom_site_fract_y
_atom_site_fract_z
Na1 Na 0.000 0.000 0.000
Sr1 Sr 0.000 0.000 0.500
Ag1 Ag 0.250 0.250 0.250
Bi1 Bi 0.250 0.250 0.750
```

## Properties
- crystal system = cubic
- formation energy from the elements (meV per atom) = -386

Record 5
A plane-wave DFT calculation with GGA-PBE was carried out for an optimized crystal structure of Ac2EuPb.

Geometry as CIF:
```
data_Ac2EuPb
_cell_length_a 8.479
_cell_length_b 8.479
_cell_length_c 8.479
_cell_angle_alpha 90.00
_cell_angle_beta 90.00
_cell_angle_gamma 90.00
_space_group_name_H-M_alt 'F m -3 m'
_space_group_IT_number 225
_space_group_name_Hall '-F 4 2 3'
loop_
_atom_site_label
_atom_site_type_symbol
_atom_site_fract_x
_atom_site_fract_y
_atom_site_fract_z
Ac1 Ac 0.250 0.250 0.250
Eu1 Eu 0.000 0.000 0.000
Pb1 Pb 0.000 0.000 0.500
```

## Properties
- crystal system = cubic
- energy relative to the lowest polymorph listed for this composition (meV per atom) = 113.5
- formation energy from the elements (meV per atom) = -156

Record 6
A plane-wave DFT calculation with GGA-PBE was carried out for an optimized crystal structure of NbB2Os.

Geometry as CIF:
```
data_NbB2Os
_cell_length_a 5.606
_cell_length_b 5.606
_cell_length_c 5.606
_cell_angle_alpha 90.00
_cell_angle_beta 90.00
_cell_angle_gamma 90.00
_space_group_name_H-M_alt 'F m -3 m'
_space_group_IT_number 225
_space_group_name_Hall '-F 4 2 3'
loop_
_atom_site_label
_atom_site_type_symbol
_atom_site_fract_x
_atom_site_fract_y
_atom_site_fract_z
Nb1 Nb 0.000 0.000 0.000
B1 B 0.250 0.250 0.250
Os1 Os 0.000 0.000 0.500
```

## Properties
- crystal system = cubic
- energy relative to the lowest polymorph listed for this composition (meV per atom) = 583.7
- formation energy from the elements (meV per atom) = 173

| no. | VASP energy (eV per formula unit) |
| --- | --- |
| 1 | -49.242 |
| 2 | -43.963 |
| 3 | -32.584 |
| 4 | -11.277 |
| 5 | -22.824 |
| 6 | -33.963 |